Entry 1:
# NiWO2

A geometry-optimized NiWO2 structure (GGA+U, the Alexandria database).

Calculated values
DOS at the Fermi energy (states/eV/cell): 0.0
Magnetic moment (μB per formula unit): 0.000
Energy above the most stable polymorph in this dataset (eV/atom): 0.1260
Space group: No. 6
Calculated volume (Å³/cell): 115.6

abc: 5.5081 3.9477 5.9235
angles: 90.00 116.14 90.00
With the nearest neighbours (Å) after each atom.
Fractional coordinates of all 8 atoms:
Ni 0.0000 0.0000 0.0000  2 O 1.97-2.05
Ni 0.0906 0.5000 0.3300  2 O 1.98-2.20
W 0.4181 0.5000 0.1017  4 O 1.94-1.98
W 0.6183 0.5000 0.6520  4 O 1.98-2.01
O 0.3063 0.5000 0.7427  2 W 1.94-2.01
O 0.3917 0.0000 0.0960  1 Ni 1.97, 2 W 1.98
O 0.6419 0.0000 0.6802  2 W 1.98, 1 Ni 2.05
O 0.7731 0.5000 0.4024  1 Ni 1.98, 2 W 1.98-2.01

Entry 2:
# Li7Co5O12

A geometry-optimized Li7Co5O12 structure (GGA+U, the Alexandria database).

Calculated values
DOS at the Fermi energy (states/eV/cell): 0.7
Magnetic moment (μB per formula unit): 10.011
Energy above the most stable polymorph in this dataset (eV/atom): 0.0687
Space group: No. 2
Calculated volume (Å³/cell): 208.9

abc: 2.9395 5.0189 14.1902
angles: 87.80 87.18 88.63
With the nearest neighbours (Å) after each atom.
Fractional coordinates of all 24 atoms:
Li 0.0000 0.0000 0.0000  6 O 2.08-2.14
Li 0.0000 0.0000 0.5000  6 O 2.04-2.14
Li 0.0233 0.6690 0.3319  6 O 2.01-2.19
Li 0.4871 0.1662 0.8327  6 O 2.10-2.35
Li 0.5000 0.5000 0.5000  6 O 2.10-2.23
Li 0.5129 0.8338 0.1673  6 O 2.10-2.35
Li 0.9767 0.3310 0.6681  6 O 2.01-2.19
Co 0.0058 0.6753 0.8352  4 O 1.90-1.93
Co 0.4818 0.8378 0.6607  3 O 1.73-1.94
Co 0.5000 0.5000 0.0000  6 O 1.94-1.97
Co 0.5182 0.1622 0.3393  3 O 1.73-1.94
Co 0.9942 0.3247 0.1648  4 O 1.90-1.93
O 0.0154 0.9798 0.7507  2 Co 1.91-1.97, 3 Li 2.08-2.12
O 0.0216 0.3711 0.9220  3 Co 1.93-1.97, 2 Li 2.10-2.13
O 0.0485 0.3281 0.4104  1 Co 1.87, 2 Li 2.01-2.04
O 0.4593 0.1829 0.0822  2 Co 1.90-1.94, 2 Li 2.08-2.10
O 0.4657 0.5354 0.7503  2 Co 1.91-1.94, 1 Li 2.13
O 0.4866 0.1341 0.5938  1 Co 1.73
O 0.5134 0.8659 0.4062  1 Co 1.73
O 0.5343 0.4646 0.2497  2 Co 1.91-1.94, 1 Li 2.13
O 0.5407 0.8171 0.9178  2 Co 1.90-1.94, 2 Li 2.08-2.10
O 0.9515 0.6719 0.5896  1 Co 1.87, 2 Li 2.01-2.04
O 0.9784 0.6289 0.0780  3 Co 1.93-1.97, 2 Li 2.10-2.13
O 0.9846 0.0202 0.2493  2 Co 1.91-1.97, 3 Li 2.08-2.12